Computed, not measured: a geometry-optimized KCrSeO6 structure at the PBE with a Hubbard U level of DFT.

Properties
**Magnetization**: 1.000 μB/f.u.
**Uncorrected energy**: -5.74 eV/atom

a b c (Å): 4.9761 4.9761 6.0528
angles (deg): 90.00 90.00 120.00
With the nearest neighbours (Å) after each atom.
Space group P312 (No. 149)
Asymmetric unit:
K1 0.0000 0.0000 0.0000 (multiplicity 1)  6 O 2.78
Cr1 0.3333 0.6667 0.5000 (multiplicity 1)  6 O 1.89
Se1 0.6667 0.3333 0.5000 (multiplicity 1)  6 O 1.83
O1 0.4010 0.0082 0.6757 (multiplicity 6)  1 Se 1.83, 1 Cr 1.89